# 1
## TcBi2Au (PBE-GGA)

Data for an optimized crystal structure of TcBi2Au.

Computed properties:
The formation energy comes out at 2.20 eV per formula unit. For the energy above the most stable polymorph in this dataset, the calculation gives 0.0 meV per atom. The calculation puts the density of states at the Fermi level at 0.964 states/eV/atom.

Geometry as CIF:
```
data_TcBi2Au
_space_group_name_H-M_alt 'F m -3 m'
_space_group_IT_number 225
_space_group_name_Hall '-F 4 2 3'
_cell_length_a 7.145
_cell_length_b 7.145
_cell_length_c 7.145
_cell_angle_alpha 90.00
_cell_angle_beta 90.00
_cell_angle_gamma 90.00
loop_
_atom_site_label
_atom_site_type_symbol
_atom_site_fract_x
_atom_site_fract_y
_atom_site_fract_z
Tc1 Tc 0.000 0.000 0.000
Bi1 Bi 0.250 0.250 0.250
Au1 Au 0.000 0.000 0.500
```

# 2
## Zn2FeCo (PBE-GGA)

Data for an optimized crystal structure of Zn2FeCo.

Computed properties:
The formation energy comes out at 1.60 eV per formula unit. For the energy above the most stable polymorph in this dataset, the calculation gives 407.7 meV per atom. The calculation puts the density of states at the Fermi level at 1.241 states/eV/atom.

Geometry as CIF:
```
data_Zn2FeCo
_space_group_name_H-M_alt 'I -4 2 d'
_space_group_IT_number 122
_space_group_name_Hall 'I -4 2bw'
_cell_length_a 6.652
_cell_length_b 6.652
_cell_length_c 4.990
_cell_angle_alpha 90.00
_cell_angle_beta 90.00
_cell_angle_gamma 90.00
loop_
_atom_site_label
_atom_site_type_symbol
_atom_site_fract_x
_atom_site_fract_y
_atom_site_fract_z
Zn1 Zn 0.244 0.250 0.125
Fe1 Fe 0.000 0.000 0.500
Co1 Co 0.000 0.000 0.000
```

Volume
In order: 365; 221
Unit: Å³ per cell
Total DFT energy (no corrections)
In order: -4.80; -4.13
Unit: eV/atom